Record 1
# Be2TlHg (PBE, relaxed)
# Energy above the most stable polymorph in this dataset in eV/atom: 0.166
# Space-group type: No. 99
# DFT formation energy in eV per atom: 0.512
# DFT total energy in eV/atom: -2.02
data_Be2TlHg
_cell_length_a 3.0474
_cell_length_b 3.0474
_cell_length_c 7.9601
_cell_angle_alpha 90.00
_cell_angle_beta 90.00
_cell_angle_gamma 90.00
_space_group_name_H-M_alt 'P 1'
_space_group_IT_number 1
loop_
_space_group_symop_operation_xyz
'x,y,z'
loop_
_atom_site_label
_atom_site_type_symbol
_atom_site_fract_x
_atom_site_fract_y
_atom_site_fract_z
Be1 Be 0.0000 0.0000 0.0000
Be2 Be 0.5000 0.5000 0.0727
Tl1 Tl 0.5000 0.5000 0.6968
Hg1 Hg 0.0000 0.0000 0.3325

***

Record 2
# BeTlHg2 (PBE, relaxed)
# Energy above the most stable polymorph in this dataset in eV/atom: 0.251
# Space-group type: No. 65
# DFT formation energy in eV per atom: 0.523
# DFT total energy in eV/atom: -1.15
data_BeTlHg2
_cell_length_a 5.5054
_cell_length_b 8.7302
_cell_length_c 3.8752
_cell_angle_alpha 90.00
_cell_angle_beta 90.00
_cell_angle_gamma 90.00
_space_group_name_H-M_alt 'P 1'
_space_group_IT_number 1
loop_
_space_group_symop_operation_xyz
'x,y,z'
loop_
_atom_site_label
_atom_site_type_symbol
_atom_site_fract_x
_atom_site_fract_y
_atom_site_fract_z
Be1 Be 0.0000 0.0000 0.0000
Be2 Be 0.5000 0.5000 0.0000
Tl1 Tl 0.0000 0.5000 0.0000
Tl2 Tl 0.5000 0.0000 0.0000
Hg1 Hg 0.2500 0.2500 0.5000
Hg2 Hg 0.2500 0.7500 0.5000
Hg3 Hg 0.7500 0.2500 0.5000
Hg4 Hg 0.7500 0.7500 0.5000

***

Record 3
# Be2TlHg (PBE, relaxed)
# Energy above the most stable polymorph in this dataset in eV/atom: 0.182
# Space-group type: No. 44
# DFT formation energy in eV per atom: 0.529
# DFT total energy in eV/atom: -2.00
data_Be2TlHg
_cell_length_a 2.9487
_cell_length_b 4.0773
_cell_length_c 12.2864
_cell_angle_alpha 90.00
_cell_angle_beta 90.00
_cell_angle_gamma 90.00
_space_group_name_H-M_alt 'P 1'
_space_group_IT_number 1
loop_
_space_group_symop_operation_xyz
'x,y,z'
loop_
_atom_site_label
_atom_site_type_symbol
_atom_site_fract_x
_atom_site_fract_y
_atom_site_fract_z
Be1 Be 0.0000 0.0000 0.0000
Be2 Be 0.0000 0.5000 0.3595
Be3 Be 0.5000 0.0000 0.8595
Be4 Be 0.5000 0.5000 0.5000
Tl1 Tl 0.0000 0.0000 0.6207
Tl2 Tl 0.5000 0.5000 0.1207
Hg1 Hg 0.0000 0.5000 0.8498
Hg2 Hg 0.5000 0.0000 0.3498

***

Record 4
# Be2TlHg (PBE, relaxed)
# Energy above the most stable polymorph in this dataset in eV/atom: 0.418
# Space-group type: No. 65
# DFT formation energy in eV per atom: 0.764
# DFT total energy in eV/atom: -1.77
data_Be2TlHg
_cell_length_a 6.1330
_cell_length_b 7.2908
_cell_length_c 3.0862
_cell_angle_alpha 90.00
_cell_angle_beta 90.00
_cell_angle_gamma 90.00
_space_group_name_H-M_alt 'P 1'
_space_group_IT_number 1
loop_
_space_group_symop_operation_xyz
'x,y,z'
loop_
_atom_site_label
_atom_site_type_symbol
_atom_site_fract_x
_atom_site_fract_y
_atom_site_fract_z
Be1 Be 0.2500 0.2500 0.0000
Be2 Be 0.2500 0.7500 0.0000
Be3 Be 0.7500 0.2500 0.0000
Be4 Be 0.7500 0.7500 0.0000
Tl1 Tl 0.0000 0.0000 0.5000
Tl2 Tl 0.5000 0.5000 0.5000
Hg1 Hg 0.0000 0.5000 0.5000
Hg2 Hg 0.5000 0.0000 0.5000

***

Record 5
# BeTlHg2 (PBE, relaxed)
# Energy above the most stable polymorph in this dataset in eV/atom: 0.000
# Space-group type: No. 8
# DFT formation energy in eV per atom: 0.272
# DFT total energy in eV/atom: -1.40
data_BeTlHg2
_cell_length_a 8.8892
_cell_length_b 3.1890
_cell_length_c 6.9512
_cell_angle_alpha 90.00
_cell_angle_beta 108.46
_cell_angle_gamma 90.00
_space_group_name_H-M_alt 'P 1'
_space_group_IT_number 1
loop_
_space_group_symop_operation_xyz
'x,y,z'
loop_
_atom_site_label
_atom_site_type_symbol
_atom_site_fract_x
_atom_site_fract_y
_atom_site_fract_z
Be1 Be 0.0000 0.0000 0.0000
Be2 Be 0.5000 0.5000 0.0000
Tl1 Tl 0.3531 0.0000 0.6192
Tl2 Tl 0.8531 0.5000 0.6192
Hg1 Hg 0.0370 0.5000 0.3035
Hg2 Hg 0.2134 0.5000 0.9605
Hg3 Hg 0.5370 0.0000 0.3035
Hg4 Hg 0.7134 0.0000 0.9605

***

Record 6
# BeTlHg4 (PBE, relaxed)
# Space-group type: No. 216
# DFT formation energy in eV per atom: 0.495
# DFT total energy in eV/atom: -0.72
data_BeTlHg4
_cell_length_a 6.1194
_cell_length_b 6.1194
_cell_length_c 6.1194
_cell_angle_alpha 60.00
_cell_angle_beta 60.00
_cell_angle_gamma 60.00
_space_group_name_H-M_alt 'P 1'
_space_group_IT_number 1
loop_
_space_group_symop_operation_xyz
'x,y,z'
loop_
_atom_site_label
_atom_site_type_symbol
_atom_site_fract_x
_atom_site_fract_y
_atom_site_fract_z
Be1 Be 0.0000 0.0000 0.0000
Tl1 Tl 0.2500 0.2500 0.2500
Hg1 Hg 0.1239 0.6254 0.6254
Hg2 Hg 0.6254 0.1239 0.6254
Hg3 Hg 0.6254 0.6254 0.1239
Hg4 Hg 0.6254 0.6254 0.6254

***

Record 7
# Be2TlHg (PBE, relaxed)
# Energy above the most stable polymorph in this dataset in eV/atom: 0.279
# Space-group type: No. 99
# DFT formation energy in eV per atom: 0.625
# DFT total energy in eV/atom: -1.90
data_Be2TlHg
_cell_length_a 3.7531
_cell_length_b 3.7531
_cell_length_c 5.0202
_cell_angle_alpha 90.00
_cell_angle_beta 90.00
_cell_angle_gamma 90.00
_space_group_name_H-M_alt 'P 1'
_space_group_IT_number 1
loop_
_space_group_symop_operation_xyz
'x,y,z'
loop_
_atom_site_label
_atom_site_type_symbol
_atom_site_fract_x
_atom_site_fract_y
_atom_site_fract_z
Be1 Be 0.0000 0.0000 0.0000
Be2 Be 0.5000 0.5000 0.2948
Tl1 Tl 0.5000 0.5000 0.8077
Hg1 Hg 0.0000 0.0000 0.4675

***

Record 8
# Be2TlHg (PBE, relaxed)
# Energy above the most stable polymorph in this dataset in eV/atom: 0.398
# Space-group type: No. 122
# DFT formation energy in eV per atom: 0.744
# DFT total energy in eV/atom: -1.79
data_Be2TlHg
_cell_length_a 6.7013
_cell_length_b 6.7013
_cell_length_c 6.9133
_cell_angle_alpha 90.00
_cell_angle_beta 90.00
_cell_angle_gamma 90.00
_space_group_name_H-M_alt 'P 1'
_space_group_IT_number 1
loop_
_space_group_symop_operation_xyz
'x,y,z'
loop_
_atom_site_label
_atom_site_type_symbol
_atom_site_fract_x
_atom_site_fract_y
_atom_site_fract_z
Be1 Be 0.2305 0.2500 0.1250
Be2 Be 0.2500 0.7305 0.3750
Be3 Be 0.2500 0.7695 0.8750
Be4 Be 0.2695 0.2500 0.6250
Be5 Be 0.7305 0.7500 0.6250
Be6 Be 0.7500 0.2305 0.8750
Be7 Be 0.7500 0.2695 0.3750
Be8 Be 0.7695 0.7500 0.1250
Tl1 Tl 0.0000 0.0000 0.5000
Tl2 Tl 0.0000 0.5000 0.7500
Tl3 Tl 0.5000 0.0000 0.2500
Tl4 Tl 0.5000 0.5000 0.0000
Hg1 Hg 0.0000 0.0000 0.0000
Hg2 Hg 0.0000 0.5000 0.2500
Hg3 Hg 0.5000 0.0000 0.7500
Hg4 Hg 0.5000 0.5000 0.5000

***

Record 9
# BeTlHg2 (PBE, relaxed)
# Energy above the most stable polymorph in this dataset in eV/atom: 0.042
# Space-group type: No. 122
# DFT formation energy in eV per atom: 0.314
# DFT total energy in eV/atom: -1.36
data_BeTlHg2
_cell_length_a 8.2104
_cell_length_b 8.2104
_cell_length_c 5.6065
_cell_angle_alpha 90.00
_cell_angle_beta 90.00
_cell_angle_gamma 90.00
_space_group_name_H-M_alt 'P 1'
_space_group_IT_number 1
loop_
_space_group_symop_operation_xyz
'x,y,z'
loop_
_atom_site_label
_atom_site_type_symbol
_atom_site_fract_x
_atom_site_fract_y
_atom_site_fract_z
Be1 Be 0.0000 0.0000 0.0000
Be2 Be 0.0000 0.5000 0.2500
Be3 Be 0.5000 0.0000 0.7500
Be4 Be 0.5000 0.5000 0.5000
Tl1 Tl 0.0000 0.0000 0.5000
Tl2 Tl 0.0000 0.5000 0.7500
Tl3 Tl 0.5000 0.0000 0.2500
Tl4 Tl 0.5000 0.5000 0.0000
Hg1 Hg 0.1507 0.2500 0.1250
Hg2 Hg 0.2500 0.6507 0.3750
Hg3 Hg 0.2500 0.8493 0.8750
Hg4 Hg 0.3493 0.2500 0.6250
Hg5 Hg 0.6507 0.7500 0.6250
Hg6 Hg 0.7500 0.1507 0.8750
Hg7 Hg 0.7500 0.3493 0.3750
Hg8 Hg 0.8493 0.7500 0.1250

***

Record 10
# BeTlHg2 (PBE, relaxed)
# Energy above the most stable polymorph in this dataset in eV/atom: 0.067
# Space-group type: No. 65
# DFT formation energy in eV per atom: 0.339
# DFT total energy in eV/atom: -1.34
data_BeTlHg2
_cell_length_a 3.7483
_cell_length_b 5.6858
_cell_length_c 8.6255
_cell_angle_alpha 90.00
_cell_angle_beta 90.00
_cell_angle_gamma 90.00
_space_group_name_H-M_alt 'P 1'
_space_group_IT_number 1
loop_
_space_group_symop_operation_xyz
'x,y,z'
loop_
_atom_site_label
_atom_site_type_symbol
_atom_site_fract_x
_atom_site_fract_y
_atom_site_fract_z
Be1 Be 0.0000 0.0000 0.0000
Be2 Be 0.5000 0.5000 0.0000
Tl1 Tl 0.0000 0.0000 0.5000
Tl2 Tl 0.5000 0.5000 0.5000
Hg1 Hg 0.0000 0.5000 0.1895
Hg2 Hg 0.0000 0.5000 0.8105
Hg3 Hg 0.5000 0.0000 0.1895
Hg4 Hg 0.5000 0.0000 0.8105

***

Record 11
# BeTlHg2 (PBE, relaxed)
# Energy above the most stable polymorph in this dataset in eV/atom: 0.009
# Space-group type: No. 44
# DFT formation energy in eV per atom: 0.281
# DFT total energy in eV/atom: -1.39
data_BeTlHg2
_cell_length_a 3.0424
_cell_length_b 4.1704
_cell_length_c 14.4832
_cell_angle_alpha 90.00
_cell_angle_beta 90.00
_cell_angle_gamma 90.00
_space_group_name_H-M_alt 'P 1'
_space_group_IT_number 1
loop_
_space_group_symop_operation_xyz
'x,y,z'
loop_
_atom_site_label
_atom_site_type_symbol
_atom_site_fract_x
_atom_site_fract_y
_atom_site_fract_z
Be1 Be 0.0000 0.0000 0.0000
Be2 Be 0.5000 0.5000 0.5000
Tl1 Tl 0.0000 0.5000 0.3001
Tl2 Tl 0.5000 0.0000 0.8001
Hg1 Hg 0.0000 0.0000 0.4806
Hg2 Hg 0.0000 0.5000 0.6515
Hg3 Hg 0.5000 0.0000 0.1515
Hg4 Hg 0.5000 0.5000 0.9806

***

Record 12
# BeTl2Hg (PBE, relaxed)
# Energy above the most stable polymorph in this dataset in eV/atom: 0.226
# Space-group type: No. 225
# DFT formation energy in eV per atom: 0.537
# DFT total energy in eV/atom: -1.65
data_BeTl2Hg
_cell_length_a 7.3789
_cell_length_b 7.3789
_cell_length_c 7.3789
_cell_angle_alpha 90.00
_cell_angle_beta 90.00
_cell_angle_gamma 90.00
_space_group_name_H-M_alt 'P 1'
_space_group_IT_number 1
loop_
_space_group_symop_operation_xyz
'x,y,z'
loop_
_atom_site_label
_atom_site_type_symbol
_atom_site_fract_x
_atom_site_fract_y
_atom_site_fract_z
Be1 Be 0.0000 0.0000 0.0000
Be2 Be 0.0000 0.5000 0.5000
Be3 Be 0.5000 0.0000 0.5000
Be4 Be 0.5000 0.5000 0.0000
Tl1 Tl 0.2500 0.2500 0.2500
Tl2 Tl 0.2500 0.2500 0.7500
Tl3 Tl 0.2500 0.7500 0.2500
Tl4 Tl 0.2500 0.7500 0.7500
Tl5 Tl 0.7500 0.2500 0.2500
Tl6 Tl 0.7500 0.2500 0.7500
Tl7 Tl 0.7500 0.7500 0.2500
Tl8 Tl 0.7500 0.7500 0.7500
Hg1 Hg 0.0000 0.0000 0.5000
Hg2 Hg 0.0000 0.5000 0.0000
Hg3 Hg 0.5000 0.0000 0.0000
Hg4 Hg 0.5000 0.5000 0.5000

***

Record 13
# Be2TlHg (PBE, relaxed)
# Energy above the most stable polymorph in this dataset in eV/atom: 0.289
# Space-group type: No. 166
# DFT formation energy in eV per atom: 0.635
# DFT total energy in eV/atom: -1.90
data_Be2TlHg
_cell_length_a 3.2727
_cell_length_b 3.2727
_cell_length_c 22.9116
_cell_angle_alpha 90.00
_cell_angle_beta 90.00
_cell_angle_gamma 120.00
_space_group_name_H-M_alt 'P 1'
_space_group_IT_number 1
loop_
_space_group_symop_operation_xyz
'x,y,z'
loop_
_atom_site_label
_atom_site_type_symbol
_atom_site_fract_x
_atom_site_fract_y
_atom_site_fract_z
Be1 Be 0.0000 0.0000 0.2428
Be2 Be 0.0000 0.0000 0.7572
Be3 Be 0.3333 0.6667 0.4239
Be4 Be 0.3333 0.6667 0.9095
Be5 Be 0.6667 0.3333 0.0905
Be6 Be 0.6667 0.3333 0.5761
Tl1 Tl 0.0000 0.0000 0.0000
Tl2 Tl 0.3333 0.6667 0.6667
Tl3 Tl 0.6667 0.3333 0.3333
Hg1 Hg 0.0000 0.0000 0.5000
Hg2 Hg 0.3333 0.6667 0.1667
Hg3 Hg 0.6667 0.3333 0.8333

***

Record 14
# BeTl2Hg (PBE, relaxed)
# Energy above the most stable polymorph in this dataset in eV/atom: 0.193
# Space-group type: No. 122
# DFT formation energy in eV per atom: 0.504
# DFT total energy in eV/atom: -1.69
data_BeTl2Hg
_cell_length_a 6.3573
_cell_length_b 6.3573
_cell_length_c 13.1246
_cell_angle_alpha 90.00
_cell_angle_beta 90.00
_cell_angle_gamma 90.00
_space_group_name_H-M_alt 'P 1'
_space_group_IT_number 1
loop_
_space_group_symop_operation_xyz
'x,y,z'
loop_
_atom_site_label
_atom_site_type_symbol
_atom_site_fract_x
_atom_site_fract_y
_atom_site_fract_z
Be1 Be 0.0000 0.0000 0.0000
Be2 Be 0.0000 0.5000 0.2500
Be3 Be 0.5000 0.0000 0.7500
Be4 Be 0.5000 0.5000 0.5000
Tl1 Tl 0.1175 0.2500 0.1250
Tl2 Tl 0.2500 0.6175 0.3750
Tl3 Tl 0.2500 0.8825 0.8750
Tl4 Tl 0.3825 0.2500 0.6250
Tl5 Tl 0.6175 0.7500 0.6250
Tl6 Tl 0.7500 0.1175 0.8750
Tl7 Tl 0.7500 0.3825 0.3750
Tl8 Tl 0.8825 0.7500 0.1250
Hg1 Hg 0.0000 0.0000 0.5000
Hg2 Hg 0.0000 0.5000 0.7500
Hg3 Hg 0.5000 0.0000 0.2500
Hg4 Hg 0.5000 0.5000 0.0000

***

Record 15
# Be2TlHg (PBE, relaxed)
# Energy above the most stable polymorph in this dataset in eV/atom: 0.262
# Space-group type: No. 160
# DFT formation energy in eV per atom: 0.608
# DFT total energy in eV/atom: -1.92
data_Be2TlHg
_cell_length_a 3.2319
_cell_length_b 3.2319
_cell_length_c 24.3210
_cell_angle_alpha 90.00
_cell_angle_beta 90.00
_cell_angle_gamma 120.00
_space_group_name_H-M_alt 'P 1'
_space_group_IT_number 1
loop_
_space_group_symop_operation_xyz
'x,y,z'
loop_
_atom_site_label
_atom_site_type_symbol
_atom_site_fract_x
_atom_site_fract_y
_atom_site_fract_z
Be1 Be 0.0000 0.0000 0.0000
Be2 Be 0.0000 0.0000 0.2775
Be3 Be 0.3333 0.6667 0.6667
Be4 Be 0.3333 0.6667 0.9441
Be5 Be 0.6667 0.3333 0.3333
Be6 Be 0.6667 0.3333 0.6108
Tl1 Tl 0.0000 0.0000 0.7543
Tl2 Tl 0.3333 0.6667 0.4210
Tl3 Tl 0.6667 0.3333 0.0876
Hg1 Hg 0.0000 0.0000 0.5362
Hg2 Hg 0.3333 0.6667 0.2029
Hg3 Hg 0.6667 0.3333 0.8695

***

Record 16
# BeTlHg2 (PBE, relaxed)
# Energy above the most stable polymorph in this dataset in eV/atom: 0.053
# Space-group type: No. 123
# DFT formation energy in eV per atom: 0.325
# DFT total energy in eV/atom: -1.35
data_BeTlHg2
_cell_length_a 3.2394
_cell_length_b 3.2394
_cell_length_c 8.3209
_cell_angle_alpha 90.00
_cell_angle_beta 90.00
_cell_angle_gamma 90.00
_space_group_name_H-M_alt 'P 1'
_space_group_IT_number 1
loop_
_space_group_symop_operation_xyz
'x,y,z'
loop_
_atom_site_label
_atom_site_type_symbol
_atom_site_fract_x
_atom_site_fract_y
_atom_site_fract_z
Be1 Be 0.0000 0.0000 0.0000
Tl1 Tl 0.0000 0.0000 0.5000
Hg1 Hg 0.5000 0.5000 0.1826
Hg2 Hg 0.5000 0.5000 0.8174